A relaxed NdGaSi crystal. Source: Alexandria via LeMat-Bulk, functional PBE.

Geometry as CIF:
```
data_NdGaSi
_chemical_formula_sum 'Nd2 Ga2 Si2'
_cell_length_a 4.1958
_cell_length_b 4.1958
_cell_length_c 8.2738
_cell_angle_alpha 90.00
_cell_angle_beta 90.00
_cell_angle_gamma 90.00
_space_group_name_H-M_alt 'I 4 m m'
_space_group_IT_number 107
_space_group_name_Hall 'I 4 -2'
loop_
_atom_site_label
_atom_site_type_symbol
_atom_site_fract_x
_atom_site_fract_y
_atom_site_fract_z
Nd1 Nd 0.0000 0.0000 0.0000
Ga1 Ga 0.0000 0.0000 0.6492
Si1 Si 0.0000 0.0000 0.3558
```

Properties
**DOS(E_F)**: 0.6342 states/eV/atom
**Formation energy from raw total energies**: -0.20 eV/atom


A relaxed Na2TlHgF6 crystal. Source: Alexandria via LeMat-Bulk, functional PBE.

Geometry as CIF:
```
data_Na2TlHgF6
_chemical_formula_sum 'Na8 Tl4 Hg4 F24'
_cell_length_a 9.2032
_cell_length_b 9.2032
_cell_length_c 9.2032
_cell_angle_alpha 90.00
_cell_angle_beta 90.00
_cell_angle_gamma 90.00
_space_group_name_H-M_alt 'F m -3 m'
_space_group_IT_number 225
_space_group_name_Hall '-F 4 2 3'
loop_
_atom_site_label
_atom_site_type_symbol
_atom_site_fract_x
_atom_site_fract_y
_atom_site_fract_z
Na1 Na 0.2500 0.2500 0.2500
Tl1 Tl 0.0000 0.0000 0.0000
Hg1 Hg 0.0000 0.0000 0.5000
F1 F 0.0000 0.0000 0.2490
```

Properties
**DOS(E_F)**: 0.0640 states/eV/atom
**Formation energy from raw total energies**: -1.87 eV/atom
**Energy above the most stable polymorph in this dataset**: 162 meV per atom


A relaxed CsAuCl3 crystal. Source: Alexandria via LeMat-Bulk, functional PBE.

Geometry as CIF:
```
data_CsAuCl3
_chemical_formula_sum 'Cs1 Au1 Cl3'
_cell_length_a 5.1826
_cell_length_b 5.1826
_cell_length_c 5.1826
_cell_angle_alpha 90.00
_cell_angle_beta 90.00
_cell_angle_gamma 90.00
_space_group_name_H-M_alt 'P m -3 m'
_space_group_IT_number 221
_space_group_name_Hall '-P 4 2 3'
loop_
_atom_site_label
_atom_site_type_symbol
_atom_site_fract_x
_atom_site_fract_y
_atom_site_fract_z
Cs1 Cs 0.0000 0.0000 0.0000
Au1 Au 0.5000 0.5000 0.5000
Cl1 Cl 0.0000 0.5000 0.5000
```

Properties
**DOS(E_F)**: 0.2007 states/eV/atom
**Formation energy from raw total energies**: -0.98 eV/atom


A relaxed Sm4Er3Zn crystal. Source: Alexandria via LeMat-Bulk, functional PBE.

Geometry as CIF:
```
data_Sm4Er3Zn
_chemical_formula_sum 'Sm4 Er3 Zn1'
_cell_length_a 3.6007
_cell_length_b 3.6007
_cell_length_c 18.6435
_cell_angle_alpha 90.00
_cell_angle_beta 90.00
_cell_angle_gamma 90.00
_space_group_name_H-M_alt 'P 4/m m m'
_space_group_IT_number 123
_space_group_name_Hall '-P 4 2'
loop_
_atom_site_label
_atom_site_type_symbol
_atom_site_fract_x
_atom_site_fract_y
_atom_site_fract_z
Sm1 Sm 0.0000 0.0000 0.0977
Sm2 Sm 0.0000 0.0000 0.3664
Er1 Er 0.5000 0.5000 0.2340
Er2 Er 0.5000 0.5000 0.5000
Zn1 Zn 0.5000 0.5000 0.0000
```

Properties
**Formation enthalpy at 0 K**: -48 kJ/mol of formula units
**DOS(E_F)**: 1.2565 states/eV/atom


A relaxed HgAsF5 crystal. Source: Alexandria via LeMat-Bulk, functional PBE.

Geometry as CIF:
```
data_HgAsF5
_chemical_formula_sum 'Hg4 As4 F20'
_cell_length_a 8.9516
_cell_length_b 7.9564
_cell_length_c 8.8811
_cell_angle_alpha 90.00
_cell_angle_beta 119.93
_cell_angle_gamma 90.00
_space_group_name_H-M_alt 'C 1 2/c 1'
_space_group_IT_number 15
_space_group_name_Hall '-C 2yc'
loop_
_atom_site_label
_atom_site_type_symbol
_atom_site_fract_x
_atom_site_fract_y
_atom_site_fract_z
Hg1 Hg 0.2500 0.2500 0.0000
As1 As 0.0000 0.0755 0.2500
F1 F 0.0000 0.2705 0.7500
F2 F 0.0947 0.2325 0.1771
F3 F 0.2097 0.0425 0.4864
```

Properties
**DOS(E_F)**: 0.0000 states/eV/atom
**Formation energy from raw total energies**: -1.72 eV/atom


A relaxed TbH8Ir2Pd crystal. Source: Alexandria via LeMat-Bulk, functional PBE.

Geometry as CIF:
```
data_TbH8Ir2Pd
_chemical_formula_sum 'Tb3 H24 Ir6 Pd3'
_cell_length_a 4.7722
_cell_length_b 4.7722
_cell_length_c 16.1360
_cell_angle_alpha 90.00
_cell_angle_beta 90.00
_cell_angle_gamma 120.00
_space_group_name_H-M_alt 'R -3'
_space_group_IT_number 148
_space_group_name_Hall '-R 3'
loop_
_atom_site_label
_atom_site_type_symbol
_atom_site_fract_x
_atom_site_fract_y
_atom_site_fract_z
Tb1 Tb 0.0000 0.0000 0.0000
H1 H 0.0000 0.0000 0.3197
H2 H 0.0083 0.3095 0.1101
Ir1 Ir 0.0000 0.0000 0.2187
Pd1 Pd 0.0000 0.0000 0.5000
```

Properties
**DOS(E_F)**: 0.1871 states/eV/atom
**VASP energy**: -168.16 eV/cell


A relaxed AcTm2AlPd4 crystal. Source: Alexandria via LeMat-Bulk, functional PBE.

Geometry as CIF:
```
data_AcTm2AlPd4
_chemical_formula_sum 'Ac3 Tm6 Al3 Pd12'
_cell_length_a 4.7114
_cell_length_b 4.7114
_cell_length_c 27.1648
_cell_angle_alpha 90.00
_cell_angle_beta 90.00
_cell_angle_gamma 120.00
_space_group_name_H-M_alt 'R -3 m'
_space_group_IT_number 166
_space_group_name_Hall '-R 3 2"'
loop_
_atom_site_label
_atom_site_type_symbol
_atom_site_fract_x
_atom_site_fract_y
_atom_site_fract_z
Ac1 Ac 0.0000 0.0000 0.0000
Tm1 Tm 0.0000 0.0000 0.2355
Al1 Al 0.0000 0.0000 0.5000
Pd1 Pd 0.0000 0.0000 0.1341
Pd2 Pd 0.0000 0.0000 0.4024
```

Properties
**Formation enthalpy at 0 K**: -650 kJ/mol of formula units
**DOS(E_F)**: 0.6161 states/eV/atom


A relaxed PrIn2P2Pd7 crystal. Source: Alexandria via LeMat-Bulk, functional PBE.

Geometry as CIF:
```
data_PrIn2P2Pd7
_chemical_formula_sum 'Pr2 In4 P4 Pd14'
_cell_length_a 5.7893
_cell_length_b 5.7781
_cell_length_c 13.7662
_cell_angle_alpha 90.00
_cell_angle_beta 101.81
_cell_angle_gamma 90.00
_space_group_name_H-M_alt 'C 1 2/m 1'
_space_group_IT_number 12
_space_group_name_Hall '-C 2y'
loop_
_atom_site_label
_atom_site_type_symbol
_atom_site_fract_x
_atom_site_fract_y
_atom_site_fract_z
Pr1 Pr 0.0000 0.0000 0.0000
In1 In 0.2258 0.5000 0.6170
P1 P 0.1310 0.5000 0.2572
Pd1 Pd 0.0000 0.5000 0.0000
Pd2 Pd 0.1708 0.2525 0.8331
Pd3 Pd 0.2040 0.0000 0.5750
```

Properties
**Formation enthalpy at 0 K**: -547 kJ/mol of formula units
**DOS(E_F)**: 0.3630 states/eV/atom


A relaxed Ba2P crystal. Source: Alexandria via LeMat-Bulk, functional PBE.

Geometry as CIF:
```
data_Ba2P
_chemical_formula_sum 'Ba4 P2'
_cell_length_a 7.6626
_cell_length_b 7.7119
_cell_length_c 4.7337
_cell_angle_alpha 90.00
_cell_angle_beta 90.00
_cell_angle_gamma 90.00
_space_group_name_H-M_alt 'P n n m'
_space_group_IT_number 58
_space_group_name_Hall '-P 2 2n'
loop_
_atom_site_label
_atom_site_type_symbol
_atom_site_fract_x
_atom_site_fract_y
_atom_site_fract_z
Ba1 Ba 0.2114 0.1885 0.0000
P1 P 0.0000 0.0000 0.5000
```

Properties
**Formation enthalpy at 0 K**: -229 kJ/mol of formula units
**DOS(E_F)**: 0.6325 states/eV/atom


A relaxed NaTeSeI2 crystal. Source: Alexandria via LeMat-Bulk, functional PBE.

Geometry as CIF:
```
data_NaTeSeI2
_chemical_formula_sum 'Na1 Te1 Se1 I2'
_cell_length_a 5.7167
_cell_length_b 5.7167
_cell_length_c 6.0209
_cell_angle_alpha 90.00
_cell_angle_beta 90.00
_cell_angle_gamma 90.00
_space_group_name_H-M_alt 'P 4/m m m'
_space_group_IT_number 123
_space_group_name_Hall '-P 4 2'
loop_
_atom_site_label
_atom_site_type_symbol
_atom_site_fract_x
_atom_site_fract_y
_atom_site_fract_z
Na1 Na 0.0000 0.0000 0.0000
Te1 Te 0.0000 0.0000 0.5000
Se1 Se 0.5000 0.5000 0.5000
I1 I 0.0000 0.5000 0.0000
```

Properties
**DOS(E_F)**: 1.4465 states/eV/atom
**Formation energy from raw total energies**: 0.46 eV/atom
**Energy above the most stable polymorph in this dataset**: 596 meV per atom


A relaxed Hf6Co2Pb crystal. Source: Alexandria via LeMat-Bulk, functional PBE.

Geometry as CIF:
```
data_Hf6Co2Pb
_chemical_formula_sum 'Hf24 Co8 Pb4'
_cell_length_a 8.5240
_cell_length_b 8.6824
_cell_length_c 9.7748
_cell_angle_alpha 90.00
_cell_angle_beta 90.00
_cell_angle_gamma 90.00
_space_group_name_H-M_alt 'I m m m'
_space_group_IT_number 71
_space_group_name_Hall '-I 2 2'
loop_
_atom_site_label
_atom_site_type_symbol
_atom_site_fract_x
_atom_site_fract_y
_atom_site_fract_z
Hf1 Hf 0.0000 0.2150 0.2393
Hf2 Hf 0.1918 0.5000 0.1718
Hf3 Hf 0.1983 0.3147 0.5000
Co1 Co 0.0000 0.3486 0.0000
Co2 Co 0.0000 0.5000 0.3718
Pb1 Pb 0.0000 0.0000 0.0000
Pb2 Pb 0.0000 0.0000 0.5000
```

Properties
**Formation enthalpy at 0 K**: -129 kJ/mol of formula units
**DOS(E_F)**: 1.2030 states/eV/atom